# LaTiVF2, optimized geometry, DFT GGA+U
data_LaTiVF2
_chemical_formula_sum 'La1 Ti1 V1 F2'
_cell_length_a 4.044
_cell_length_b 7.446
_cell_length_c 4.044
_cell_angle_alpha 90.00
_cell_angle_beta 90.00
_cell_angle_gamma 90.00
_symmetry_space_group_name_H-M 'P 1'
_symmetry_Int_Tables_number 1
_symmetry_space_group_name_Hall 'P 1'
loop_
_atom_site_label
_atom_site_type_symbol
_atom_site_fract_x
_atom_site_fract_y
_atom_site_fract_z
Ti1 Ti 0.500 0.500 0.500
F1 F 0.500 0.000 0.000
V1 V 0.000 0.000 0.000
La1 La 0.000 0.500 0.000
F2 F 0.000 0.000 0.500
# Fermi-level density of states   5.2 states/eV per cell
# Electronic total energy   -5.40 eV per atom
# Space group   P4/mmm (123)